Here is a relaxed structure of TbTa2C from Alexandria. Energies are from PBE.

Unit cell a=8.804 b=8.804 c=8.804 alpha=20.56 beta=20.56 gamma=20.56
Positions (direct):
Tb  0.000  0.000  0.000
Ta  0.120  0.120  0.120
Ta  0.880  0.880  0.880
C  0.500  0.500  0.500

Values from the calculation:
Space-group type: R-3m, No. 166
ΔE_f: 0.097 eV/f.u.
DFT total energy: -9.366 eV per atom